1.
Here is a geometry-optimized ZrCuH2 structure from Alexandria. Energies are from PBE-GGA.

Properties
Density of states at the Fermi level, states/eV/cell: 1.336
Space-group type: No. 225
Mass density, g/cm³: 6.71
Magnetization, μB/cell: 0.00
Energy relative to the lowest polymorph listed for this composition, kJ per mole of atoms: 15.9
V, Å³ per cell: 39
DFT total energy, eV for the cell shown: -19.68

Unit cell a=3.801 b=3.801 c=3.801 alpha=60.00 beta=60.00 gamma=60.00
Fractional coordinates of all 4 atoms:
Zr 0.000 0.000 0.000
Cu 0.500 0.500 0.500
H 0.250 0.250 0.250
H 0.750 0.750 0.750

***

2.
Here is a geometry-optimized ZrCuH3 structure from Alexandria. Energies are from PBE-GGA.

Properties
Density of states at the Fermi level, states/eV/cell: 1.740
Space-group type: No. 11
Mass density, g/cm³: 5.84
Magnetization, μB/cell: 0.00
V, Å³ per cell: 90
DFT total energy, eV for the cell shown: -47.40

Unit cell a=3.207 b=6.006 c=4.689 alpha=90.00 beta=96.32 gamma=90.00
Fractional coordinates of all 10 atoms:
Zr 0.222 0.250 0.463
Zr 0.778 0.750 0.537
Cu 0.500 0.000 0.000
Cu 0.500 0.500 0.000
H 0.249 0.578 0.341
H 0.249 0.922 0.341
H 0.358 0.750 0.842
H 0.642 0.250 0.158
H 0.751 0.078 0.659
H 0.751 0.422 0.659

***

3.
Here is a geometry-optimized Zr2CuH structure from Alexandria. Energies are from PBE-GGA.

Properties
Density of states at the Fermi level, states/eV/cell: 4.472
Space-group type: No. 225
Mass density, g/cm³: 6.51
Magnetization, μB/cell: 0.00
Energy relative to the lowest polymorph listed for this composition, kJ per mole of atoms: 32.0
V, Å³ per cell: 63
DFT total energy, eV for the cell shown: -23.99

Unit cell a=4.466 b=4.466 c=4.466 alpha=60.00 beta=60.00 gamma=60.00
Fractional coordinates of all 4 atoms:
Zr 0.250 0.250 0.250
Zr 0.750 0.750 0.750
Cu 0.000 0.000 0.000
H 0.500 0.500 0.500

***

4.
Here is a geometry-optimized ZrCuH3 structure from Alexandria. Energies are from PBE-GGA.

Properties
Density of states at the Fermi level, states/eV/cell: 2.855
Space-group type: No. 221
Mass density, g/cm³: 6.36
Magnetization, μB/cell: 0.00
V, Å³ per cell: 41
DFT total energy, eV for the cell shown: -22.74

Unit cell a=3.454 b=3.454 c=3.454 alpha=90.00 beta=90.00 gamma=90.00
Fractional coordinates of all 5 atoms:
Zr 0.000 0.000 0.000
Cu 0.500 0.500 0.500
H 0.000 0.500 0.500
H 0.500 0.000 0.500
H 0.500 0.500 0.000

***

5.
Here is a geometry-optimized Zr2CuH5 structure from Alexandria. Energies are from PBE-GGA.

Properties
Density of states at the Fermi level, states/eV/cell: 3.230
Space-group type: No. 12
Mass density, g/cm³: 6.02
Magnetization, μB/cell: 0.00
V, Å³ per cell: 138
DFT total energy, eV for the cell shown: -82.15

Unit cell a=5.736 b=5.736 c=8.360 alpha=121.37 beta=121.37 gamma=36.99
Fractional coordinates of all 16 atoms:
Zr 0.081 0.081 0.344
Zr 0.327 0.327 0.926
Zr 0.673 0.673 0.074
Zr 0.919 0.919 0.656
Cu 0.377 0.377 0.350
Cu 0.623 0.623 0.650
H 0.119 0.119 0.641
H 0.137 0.137 0.925
H 0.184 0.184 0.203
H 0.316 0.316 0.519
H 0.465 0.465 0.828
H 0.535 0.535 0.172
H 0.684 0.684 0.481
H 0.816 0.816 0.797
H 0.863 0.863 0.075
H 0.881 0.881 0.359

***

6.
Here is a geometry-optimized Zr2CuH structure from Alexandria. Energies are from PBE-GGA.

Properties
Density of states at the Fermi level, states/eV/cell: 5.865
Space-group type: No. 122
Mass density, g/cm³: 6.51
Magnetization, μB/cell: 0.00
Energy relative to the lowest polymorph listed for this composition, kJ per mole of atoms: 7.9
V, Å³ per cell: 126
DFT total energy, eV for the cell shown: -49.98

Unit cell a=5.475 b=5.475 c=5.475 alpha=111.09 beta=111.09 gamma=106.28
Fractional coordinates of all 8 atoms:
Zr 0.057 0.125 0.432
Zr 0.375 0.943 0.068
Zr 0.693 0.625 0.568
Zr 0.875 0.307 0.932
Cu 0.250 0.750 0.500
Cu 0.500 0.500 0.000
H 0.000 0.000 0.000
H 0.750 0.250 0.500

***

7.
Here is a geometry-optimized ZrCuH3 structure from Alexandria. Energies are from PBE-GGA.

Properties
Density of states at the Fermi level, states/eV/cell: 1.267
Space-group type: No. 221
Mass density, g/cm³: 4.88
Magnetization, μB/cell: 0.00
V, Å³ per cell: 54
DFT total energy, eV for the cell shown: -21.87

Unit cell a=3.773 b=3.773 c=3.773 alpha=90.00 beta=90.00 gamma=90.00
Fractional coordinates of all 5 atoms:
Zr 0.000 0.000 0.000
Cu 0.500 0.500 0.500
H 0.000 0.000 0.500
H 0.000 0.500 0.000
H 0.500 0.000 0.000

***

8.
Here is a geometry-optimized ZrCu2H structure from Alexandria. Energies are from PBE-GGA.

Properties
Density of states at the Fermi level, states/eV/cell: 3.821
Space-group type: No. 225
Mass density, g/cm³: 6.46
Magnetization, μB/cell: 0.00
Energy relative to the lowest polymorph listed for this composition, kJ per mole of atoms: 42.6
V, Å³ per cell: 56
DFT total energy, eV for the cell shown: -17.72

Unit cell a=4.304 b=4.304 c=4.304 alpha=60.00 beta=60.00 gamma=60.00
Fractional coordinates of all 4 atoms:
Zr 0.000 0.000 0.000
Cu 0.250 0.250 0.250
Cu 0.750 0.750 0.750
H 0.500 0.500 0.500